[1]
## MnTl2VAg (PBE)

Data for a relaxed structure of MnTl2VAg.

a b c (Å): 5.319 5.077 5.319
angles (deg): 90.00 90.00 90.00
Each line ends with the local moment (μB).
Sites, in units of the cell vectors:
Mn (0.500, 0.500, 0.500)  -4.46
Ag (0.000, 0.500, 0.000)  -0.10
Tl (0.000, 0.000, 0.500)  -0.04
Tl (0.500, 0.000, 0.000)  -0.04
V (0.000, 0.000, 0.000)  -2.54

Raw total energy, eV/atom: -4.081
DFT formation energy, eV/atom: 1.094


[2]
## YTmMnAg (PBE)

Data for a relaxed structure of YTmMnAg.

a b c (Å): 5.067 5.067 5.067
angles (deg): 60.00 60.00 60.00
Each line ends with the local moment (μB).
Sites, in units of the cell vectors:
Y (0.000, 0.000, 0.000)  -0.11
Mn (0.750, 0.750, 0.750)  3.57
Ag (0.250, 0.250, 0.250)  0.00
Tm (0.500, 0.500, 0.500)  -0.14

Raw total energy, eV/atom: -5.755
DFT formation energy, eV/atom: -0.016